DFT (PBE) results for ThZnPt5 after structural relaxation.

The structure belongs to space group Pnma (No. 62); the cell edges are 8.847, 5.344 and 10.749 Å and the angles 90.00°, 90.00° and 90.00°. Symmetry generates all atoms from Th at (0.249, 0.250, 0.056), Zn at (0.155, 0.750, 0.852), Pt at (0.047, 0.750, 0.071), Pt at (0.064, 0.008, 0.293), Pt at (0.098, 0.250, 0.514) and Pt at (0.187, 0.250, 0.757).

The density of states at the Fermi level is 4.15 states/eV/f.u. The magnetization comes out at 0.000 μB per formula unit. For the calculated formation energy, the calculation gives -717 meV/atom. Its calculated volume is 18.15 Å³/atom.

DFT (PBE) results for NdAl11Cu after structural relaxation.

The structure belongs to space group C2/m (No. 12); the cell edges are 5.276, 12.628 and 7.218 Å and the angles 90.00°, 108.65° and 90.00°. Symmetry generates all atoms from Nd at (0.000, 0.000, 0.000), Al at (0.000, 0.000, 0.500), Al at (0.106, 0.391, 0.229), Al at (0.172, 0.177, 0.355), Al at (0.250, 0.250, 0.000) and Cu at (0.000, 0.500, 0.500).

The density of states at the Fermi level is 5.90 states/eV/f.u. The magnetization comes out at 0.000 μB per formula unit. For the calculated formation energy, the calculation gives -128 meV/atom. Its calculated volume is 17.53 Å³/atom.

DFT (PBE) results for Ca5Ga2 after structural relaxation.

The structure belongs to space group Ibam (No. 72); the cell edges are 7.650, 15.781 and 7.072 Å and the angles 90.00°, 90.00° and 90.00°. Symmetry generates all atoms from Ca at (0.000, 0.000, 0.250), Ca at (0.000, 0.231, 0.250), Ca at (0.144, 0.417, 0.000) and Ga at (0.249, 0.378, 0.500).

The density of states at the Fermi level is 3.46 states/eV/f.u. The magnetization comes out at 0.000 μB per formula unit. For the calculated formation energy, the calculation gives -293 meV/atom. Its calculated volume is 30.49 Å³/atom.